1.
A relaxed structure of Hf2GeN. Source: Alexandria via LeMat-Bulk, functional PBE-GGA. Values from VASP.

raw formation energy: -4.20 eV per formula unit
E: -37.05 eV for the cell shown

Structure (Quantum ESPRESSO input):
```
&SYSTEM
  ibrav = 0, nat = 4, ntyp = 3
/
ATOMIC_SPECIES
Ge 72.64 Ge.upf
N 14.01 N.upf
Hf 178.49 Hf.upf
CELL_PARAMETERS angstrom
-0.5187 -0.3889 3.1929
-2.3578 -0.7197 -2.1329
3.9468 -5.7657 -0.0612
ATOMIC_POSITIONS angstrom
Ge 1.9734 -2.8828 -0.0306
N -0.2593 -0.1945 1.5964
Hf 1.5206 -5.4190 1.2492
Hf -0.4503 -1.4553 -0.2504
```

=====

2.
A relaxed structure of HfGeN2. Source: Alexandria via LeMat-Bulk, functional PBE-GGA. Values from VASP.

raw formation energy: -2.59 eV per formula unit
E: -33.81 eV for the cell shown

Structure (Quantum ESPRESSO input):
```
&SYSTEM
  ibrav = 0, nat = 4, ntyp = 3
/
ATOMIC_SPECIES
N 14.01 N.upf
Ge 72.64 Ge.upf
Hf 178.49 Hf.upf
CELL_PARAMETERS angstrom
3.9216 3.1961 3.9020
5.4136 0.3729 3.3725
5.6389 2.7562 1.1939
ATOMIC_POSITIONS angstrom
N 1.5719 0.6640 0.8890
Ge 0.0000 0.0000 0.0000
Hf 7.4870 3.1626 4.2342
N 13.4022 5.6612 7.5795
```

=====

3.
A relaxed structure of Hf4GeN. Source: Alexandria via LeMat-Bulk, functional PBE-GGA. Values from VASP.

raw formation energy: -3.91 eV per formula unit
E: -113.33 eV for the cell shown

Structure (Quantum ESPRESSO input):
```
&SYSTEM
  ibrav = 0, nat = 12, ntyp = 3
/
ATOMIC_SPECIES
Ge 72.64 Ge.upf
Hf 178.49 Hf.upf
N 14.01 N.upf
CELL_PARAMETERS angstrom
-4.0857 -4.4020 0.9294
4.3250 -3.5227 2.3281
-0.6999 2.6523 5.3136
ATOMIC_POSITIONS angstrom
Ge 0.0000 0.0000 0.0000
Hf 2.4680 -2.1430 5.3436
Hf 2.0203 -4.3429 3.3179
Hf -0.3471 -3.7149 5.3925
Hf -2.4809 -0.9295 5.2531
Hf -0.1135 -1.5575 3.1785
Hf -1.0547 -5.7032 3.2270
N -2.3928 -0.8749 3.1215
Ge 0.1197 -3.9624 1.6287
Hf 0.5941 0.4308 5.3440
Hf -2.9286 -3.1295 3.2275
N 1.8125 -0.4352 3.8208
```